# 1
CaSn4P6O24 PBEsol relaxed; total DFT energy (no corrections) = -0.53547 Ry per atom; formation energy without anion corrections = -2.1453 eV/atom; N(E_F) = 0.00 states/eV per cell
1.0
4.205 2.428 7.609
-4.205 2.428 7.609
0.000 -4.855 7.609
Ca Sn P O
1 4 6 24
direct
0.000 0.000 0.000
0.147 0.147 0.147
0.352 0.352 0.352
0.648 0.648 0.648
0.853 0.853 0.853
0.036 0.457 0.752
0.248 0.964 0.543
0.457 0.752 0.036
0.543 0.248 0.964
0.752 0.036 0.457
0.964 0.543 0.248
0.012 0.603 0.808
0.110 0.883 0.751
0.117 0.249 0.890
0.158 0.531 0.214
0.176 0.486 0.544
0.192 0.988 0.397
0.214 0.158 0.531
0.249 0.890 0.117
0.397 0.192 0.988
0.456 0.824 0.514
0.469 0.786 0.842
0.486 0.544 0.176
0.514 0.456 0.824
0.531 0.214 0.158
0.544 0.176 0.486
0.603 0.808 0.012
0.751 0.110 0.883
0.786 0.842 0.469
0.808 0.012 0.603
0.824 0.514 0.456
0.842 0.469 0.786
0.883 0.751 0.110
0.890 0.117 0.249
0.988 0.397 0.192



# 2
AsSe2Cl PBEsol relaxed; total DFT energy (no corrections) = -0.27078 Ry per atom; formation energy without anion corrections = 0.0195 eV/atom; polymorph energy (0 for the lowest one) = 0.00 eV/f.u.; N(E_F) = 8.40 states/eV per cell
1.0
3.633 0.000 0.000
-1.817 3.146 0.000
0.000 0.000 22.148
As Se Cl
3 6 3
direct
0.000 0.000 0.000
0.333 0.667 0.667
0.667 0.333 0.333
0.000 0.000 0.262
0.000 0.000 0.738
0.333 0.667 0.404
0.333 0.667 0.929
0.667 0.333 0.071
0.667 0.333 0.596
0.000 0.000 0.500
0.333 0.667 0.167
0.667 0.333 0.833



# 3
ScTaMo2 PBEsol relaxed; total DFT energy (no corrections) = -0.77620 Ry per atom; formation enthalpy at 0 K = 0.112 eV/atom; polymorph energy (0 for the lowest one) = 0.05 eV/f.u.; N(E_F) = 24.18 states/eV per cell
1.0
6.442 0.000 0.000
0.000 6.442 0.000
0.000 0.000 6.442
Sc Ta Mo
4 4 8
direct
0.000 0.000 0.000
0.000 0.500 0.500
0.500 0.000 0.500
0.500 0.500 0.000
0.000 0.000 0.500
0.000 0.500 0.000
0.500 0.000 0.000
0.500 0.500 0.500
0.250 0.250 0.250
0.250 0.250 0.750
0.250 0.750 0.250
0.250 0.750 0.750
0.750 0.250 0.250
0.750 0.250 0.750
0.750 0.750 0.250
0.750 0.750 0.750



# 4
Sc2AgSn2 PBEsol relaxed; total DFT energy (no corrections) = -0.40486 Ry per atom; formation enthalpy at 0 K = -0.500 eV/atom; N(E_F) = 5.88 states/eV per cell
1.0
7.140 0.000 0.000
0.000 7.140 0.000
0.000 0.000 4.261
Sc Ag Sn
4 2 4
direct
0.167 0.333 0.000
0.333 0.833 0.000
0.667 0.167 0.000
0.833 0.667 0.000
0.000 0.000 0.500
0.500 0.500 0.500
0.140 0.640 0.500
0.360 0.140 0.500
0.640 0.860 0.500
0.860 0.360 0.500



# 5
AlZnPt2 PBEsol relaxed; total DFT energy (no corrections) = -0.41382 Ry per atom; formation enthalpy at 0 K = -0.730 eV/atom; N(E_F) = 1.94 states/eV per cell
1.0
9.368 0.000 0.000
0.000 2.862 0.000
-1.234 0.000 4.234
Al Zn Pt
2 2 4
direct
0.000 0.000 0.000
0.500 0.500 0.000
0.247 0.500 0.379
0.747 0.000 0.379
0.261 0.000 0.888
0.491 0.000 0.495
0.761 0.500 0.888
0.991 0.500 0.495



# 6
LaBeHF2 PBEsol relaxed; total DFT energy (no corrections) = -0.33587 Ry per atom; N(E_F) = 1.39 states/eV per cell
1.0
4.331 0.000 0.000
0.000 4.331 0.000
0.000 0.000 3.144
La Be H F
1 1 1 2
direct
0.000 0.000 0.000
0.500 0.500 0.000
0.500 0.500 0.500
0.000 0.500 0.500
0.500 0.000 0.500



# 7
SiNi2Rh PBEsol relaxed; total DFT energy (no corrections) = -0.51073 Ry per atom; formation energy without anion corrections = -0.3989 eV/atom; N(E_F) = 6.62 states/eV per cell
1.0
2.807 0.000 0.000
0.000 4.065 0.000
0.000 0.000 8.071
Si Ni Rh
2 4 2
direct
0.000 0.000 0.000
0.500 0.500 0.500
0.000 0.000 0.485
0.000 0.500 0.717
0.500 0.000 0.217
0.500 0.500 0.985
0.000 0.500 0.264
0.500 0.000 0.764



# 8
FeReAg3 PBEsol relaxed; total DFT energy (no corrections) = -0.33085 Ry per atom; formation enthalpy at 0 K = 1.944 eV/atom; N(E_F) = 4.61 states/eV per cell
1.0
4.585 0.000 0.000
0.000 4.585 0.000
0.000 0.000 4.585
Fe Re Ag
1 1 3
direct
0.000 0.000 0.000
0.500 0.500 0.500
0.000 0.000 0.500
0.000 0.500 0.000
0.500 0.000 0.000



Repeat the fourth record exactly.
Sc2AgSn2 PBEsol relaxed; total DFT energy (no corrections) = -0.40486 Ry per atom; formation enthalpy at 0 K = -0.500 eV/atom; N(E_F) = 5.88 states/eV per cell
1.0
7.140 0.000 0.000
0.000 7.140 0.000
0.000 0.000 4.261
Sc Ag Sn
4 2 4
direct
0.167 0.333 0.000
0.333 0.833 0.000
0.667 0.167 0.000
0.833 0.667 0.000
0.000 0.000 0.500
0.500 0.500 0.500
0.140 0.640 0.500
0.360 0.140 0.500
0.640 0.860 0.500
0.860 0.360 0.500